Material: NpAl2S6
Method: DFT, PBE-GGA
State: optimized geometry

It has space group C2/c (No. 15), with a = 11.827 Å, b = 11.565 Å, c = 6.779 Å, α = 90.00°, β = 102.30° and γ = 90.00°. The inequivalent atoms are Np at (0.000, 0.101, 0.250), Al at (0.180, 0.423, 0.302), S at (0.101, 0.436, 0.581), S at (0.122, 0.069, 0.626) and S at (0.148, 0.242, 0.179).

As for the total magnetic moment: 0.33 μB per atom. The calculation puts the raw formation energy at -0.809 eV/atom. Its volume is 906 Å³/cell.

Material: CsPt2Se2
Method: DFT, PBE-GGA
State: optimized geometry

It has space group I4/mmm (No. 139), with a = 4.647 Å, b = 4.647 Å, c = 12.788 Å, α = 90.00°, β = 90.00° and γ = 90.00°. The inequivalent atoms are Cs at (0.000, 0.000, 0.000), Pt at (0.000, 0.500, 0.250) and Se at (0.000, 0.000, 0.332).

As for the total magnetic moment: 0.00 μB per atom. The calculation puts the raw formation energy at -0.297 eV/atom. Its volume is 276 Å³/cell.

Material: Cs2TlI
Method: DFT, PBE-GGA
State: optimized geometry

It has space group I-42d (No. 122), with a = 10.605 Å, b = 10.605 Å, c = 8.912 Å, α = 90.00°, β = 90.00° and γ = 90.00°. The inequivalent atoms are Cs at (0.224, 0.750, 0.125), Tl at (0.000, 0.000, 0.500) and I at (0.000, 0.000, 0.000).

As for the total magnetic moment: 0.00 μB per atom. The distance to the lowest polymorph of the same formula is 152.2 meV/atom. The calculation puts the raw formation energy at -0.507 eV/atom. Its volume is 1002 Å³/cell.

Material: DyTm8Sc6
Method: DFT, PBE-GGA
State: optimized geometry

It has space group R-3 (No. 148, hexagonal axes), with a = 8.6152 Å, b = 8.6152 Å, c = 19.8097 Å, α = 90.00°, β = 90.00° and γ = 120.00°. The inequivalent atoms are Dy at (0.0000, 0.0000, 0.0000), Tm at (0.0000, 0.0000, 0.4215), Tm at (0.0810, 0.5587, 0.8078) and Sc at (0.0489, 0.2402, 0.7057).

As for the total magnetic moment: 0.00 μB per atom. The distance to the lowest polymorph of the same formula is 0.0 meV/atom. Its volume is 1273 Å³/cell.

Material: LaZr3Cr
Method: DFT, PBE-GGA
State: optimized geometry

It has space group Pm-3m (No. 221), with a = 5.089 Å, b = 5.089 Å, c = 5.089 Å, α = 90.00°, β = 90.00° and γ = 90.00°. The inequivalent atoms are La at (0.000, 0.000, 0.000), Zr at (0.000, 0.000, 0.500) and Cr at (0.500, 0.500, 0.500).

As for the total magnetic moment: 0.11 μB per atom. The distance to the lowest polymorph of the same formula is 1497.5 meV/atom. Its volume is 132 Å³/cell.

Material: Yb3Cd
Method: DFT, PBE-GGA
State: optimized geometry

It has space group Pm-3m (No. 221), with a = 4.974 Å, b = 4.974 Å, c = 4.974 Å, α = 90.00°, β = 90.00° and γ = 90.00°. The inequivalent atoms are Yb at (0.000, 0.000, 0.500) and Cd at (0.500, 0.500, 0.500).

As for the total magnetic moment: 0.11 μB per atom. The distance to the lowest polymorph of the same formula is 0.0 meV/atom. Its volume is 123 Å³/cell.

Material: NpGaGe
Method: DFT, PBE-GGA
State: optimized geometry

It has space group P-6m2 (No. 187), with a = 4.8636 Å, b = 4.8636 Å, c = 2.5441 Å, α = 90.00°, β = 90.00° and γ = 120.00°. The inequivalent atoms are Np at (0.0000, 0.0000, 0.0000), Ga at (0.3333, 0.6667, 0.5000) and Ge at (0.6667, 0.3333, 0.5000).

As for the total magnetic moment: 0.00 μB per atom. The distance to the lowest polymorph of the same formula is 122.7 meV/atom. Its volume is 52 Å³/cell.

Material: PdRu2Cl
Method: DFT, PBE-GGA
State: optimized geometry

It has space group I-42d (No. 122), with a = 4.185 Å, b = 4.185 Å, c = 16.167 Å, α = 90.00°, β = 90.00° and γ = 90.00°. The inequivalent atoms are Pd at (0.000, 0.000, 0.000), Ru at (0.154, 0.250, 0.625) and Cl at (0.000, 0.000, 0.500).

As for the total magnetic moment: 0.00 μB per atom. The distance to the lowest polymorph of the same formula is 64.3 meV/atom. The calculation puts the raw formation energy at 0.980 eV/atom. Its volume is 283 Å³/cell.